No. 1
{"formula": "LaHfSc2Fe", "functional": "GGA-PBE", "state": "optimized geometry", "cell": [[4.985, 0.000, 0.000], [0.000, 4.985, 0.000], [0.000, 0.000, 4.904]], "species": ["Fe", "Sc", "La", "Sc", "Hf"], "fractional_positions": [[0.000, 0.000, 0.000], [0.500, 0.000, 0.000], [0.500, 0.500, 0.500], [0.000, 0.500, 0.000], [0.000, 0.000, 0.500]], "final_energy_ev_per_cell": -35.86, "ef_ev_per_atom": 0.03, "magmom_total_mub_per_atom": 0.000}

=====

No. 2
{"formula": "LiHfFe3", "functional": "GGA-PBE", "state": "optimized geometry", "cell": [[-2.117, 1.185, 3.971], [-3.986, -1.801, -1.588], [1.132, -4.124, 1.834]], "species": ["Fe", "Fe", "Li", "Fe", "Hf"], "fractional_positions": [[0.000, 0.000, 0.500], [0.000, 0.500, 0.000], [0.500, 0.500, 0.500], [0.500, 0.000, 0.000], [0.000, 0.000, 0.000]], "final_energy_ev_per_cell": -30.52, "ef_ev_per_atom": 1.35, "magmom_total_mub_per_atom": 1.230}

=====

No. 3
{"formula": "Li2HfFe", "functional": "GGA-PBE", "state": "optimized geometry", "cell": [[-1.714, -2.555, -1.758], [3.102, -1.401, -0.988], [0.744, -7.863, 7.130]], "species": ["Li", "Fe", "Hf", "Hf", "Li", "Li", "Li", "Fe"], "fractional_positions": [[0.594, 0.125, 0.250], [0.500, 0.500, 0.000], [0.000, 0.000, 0.000], [0.750, 0.250, 0.500], [0.875, 0.844, 0.750], [0.375, 0.406, 0.750], [0.156, 0.625, 0.250], [0.250, 0.750, 0.500]], "final_energy_ev_per_cell": -41.81, "ef_ev_per_atom": 0.34, "magmom_total_mub_per_atom": 0.136}

=====

No. 4
{"formula": "LiHfFe4", "functional": "GGA-PBE", "state": "optimized geometry", "cell": [[4.792, 0.000, 0.000], [2.396, 4.150, 0.000], [2.396, 1.383, 3.913]], "species": ["Li", "Fe", "Hf", "Fe", "Fe", "Fe"], "fractional_positions": [[0.000, 0.000, 0.000], [0.626, 0.626, 0.626], [0.250, 0.250, 0.250], [0.626, 0.122, 0.626], [0.626, 0.626, 0.122], [0.122, 0.626, 0.626]], "final_energy_ev_per_cell": -46.14, "ef_ev_per_atom": -0.07, "magmom_total_mub_per_atom": 0.849}

=====

No. 5
{"formula": "LiHfFe3", "functional": "GGA-PBE", "state": "optimized geometry", "cell": [[-0.260, -0.181, 4.026], [-3.987, -0.576, -0.284], [0.587, -3.993, -0.142]], "species": ["Li", "Fe", "Fe", "Hf", "Fe"], "fractional_positions": [[0.000, 0.000, 0.000], [0.000, 0.000, 0.500], [0.500, 0.000, 0.000], [0.500, 0.500, 0.500], [0.000, 0.500, 0.000]], "final_energy_ev_per_cell": -34.19, "ef_ev_per_atom": 0.61, "magmom_total_mub_per_atom": 0.995}

=====

No. 6
{"formula": "Li3HfFe", "functional": "GGA-PBE", "state": "optimized geometry", "cell": [[4.288, 0.000, 0.000], [0.000, 4.288, 0.000], [0.000, 0.000, 4.288]], "species": ["Li", "Fe", "Li", "Li", "Hf"], "fractional_positions": [[0.000, 0.000, 0.500], [0.000, 0.000, 0.000], [0.000, 0.500, 0.000], [0.500, 0.000, 0.000], [0.500, 0.500, 0.500]], "final_energy_ev_per_cell": -19.15, "ef_ev_per_atom": 1.00, "magmom_total_mub_per_atom": 0.000}

=====

No. 7
{"formula": "Li2Hf2Fe", "functional": "GGA-PBE", "state": "optimized geometry", "cell": [[-0.769, -3.323, -3.378], [-0.642, -3.317, 3.410], [-3.997, -2.620, 0.077]], "species": ["Hf", "Hf", "Fe", "Li", "Li"], "fractional_positions": [[0.750, 0.250, 0.500], [0.250, 0.750, 0.500], [0.000, 0.000, 0.000], [0.371, 0.371, 0.257], [0.629, 0.629, 0.743]], "final_energy_ev_per_cell": -29.31, "ef_ev_per_atom": 0.58, "magmom_total_mub_per_atom": 0.000}

=====

No. 8
{"formula": "LiHf3Fe", "functional": "GGA-PBE", "state": "optimized geometry", "cell": [[4.813, 0.000, 0.000], [0.000, 4.813, 0.000], [0.000, 0.000, 4.813]], "species": ["Li", "Fe", "Hf", "Hf", "Hf"], "fractional_positions": [[0.500, 0.500, 0.500], [0.000, 0.000, 0.000], [0.500, 0.000, 0.000], [0.000, 0.000, 0.500], [0.000, 0.500, 0.000]], "final_energy_ev_per_cell": -38.44, "ef_ev_per_atom": 0.36, "magmom_total_mub_per_atom": 0.202}

=====

No. 9
{"formula": "Li2HfFe", "functional": "GGA-PBE", "state": "optimized geometry", "cell": [[3.952, 0.158, 1.619], [0.609, -0.487, 4.202], [1.841, -3.555, 1.495]], "species": ["Fe", "Li", "Li", "Hf"], "fractional_positions": [[0.000, 0.000, 0.000], [0.250, 0.250, 0.250], [0.750, 0.750, 0.750], [0.500, 0.500, 0.500]], "final_energy_ev_per_cell": -20.00, "ef_ev_per_atom": 0.56, "magmom_total_mub_per_atom": 0.000}

=====

No. 10
{"formula": "Li2Hf2Fe", "functional": "GGA-PBE", "state": "optimized geometry", "cell": [[6.192, 0.000, 0.000], [0.000, 6.192, 0.000], [0.000, 0.000, 4.098]], "species": ["Li", "Li", "Hf", "Hf", "Li", "Fe", "Hf", "Li", "Fe", "Hf"], "fractional_positions": [[0.619, 0.119, 0.000], [0.881, 0.619, 0.000], [0.698, 0.802, 0.500], [0.198, 0.698, 0.500], [0.119, 0.381, 0.000], [0.000, 0.000, 0.000], [0.802, 0.302, 0.500], [0.381, 0.881, 0.000], [0.500, 0.500, 0.000], [0.302, 0.198, 0.500]], "final_energy_ev_per_cell": -59.41, "ef_ev_per_atom": 0.50, "magmom_total_mub_per_atom": 0.000}

=====

No. 11
{"formula": "LiHfMn2Fe", "functional": "GGA-PBE", "state": "optimized geometry", "cell": [[-2.080, -0.386, 3.661], [3.618, -0.241, 2.030], [0.023, 4.203, 0.457]], "species": ["Mn", "Mn", "Li", "Hf", "Fe"], "fractional_positions": [[0.000, 0.000, 0.500], [0.500, 0.000, 0.000], [0.000, 0.500, 0.000], [0.500, 0.500, 0.500], [0.000, 0.000, 0.000]], "final_energy_ev_per_cell": -35.29, "ef_ev_per_atom": 0.68, "magmom_total_mub_per_atom": 0.605}

=====

No. 12
{"formula": "LiHfNbFe", "functional": "GGA-PBE", "state": "optimized geometry", "cell": [[4.432, 0.000, 0.000], [2.216, 3.839, 0.000], [2.216, 1.280, 3.619]], "species": ["Li", "Hf", "Fe", "Nb"], "fractional_positions": [[0.000, 0.000, 0.000], [0.750, 0.750, 0.750], [0.500, 0.500, 0.500], [0.250, 0.250, 0.250]], "final_energy_ev_per_cell": -30.18, "ef_ev_per_atom": 0.05, "magmom_total_mub_per_atom": 0.000}